Material: Al5Ni4Ag
Method: DFT, PBE-GGA
State: optimized geometry

V: 12.99 Å³ per atom
Energy of formation from the pure elements: -0.54 eV per atom
Total moment: 0.00 μB per cell
Symmetry: P4/mmm, No. 123

a = 2.920 Å, b = 2.920 Å, c = 15.231 Å
α = 90.00°, β = 90.00°, γ = 90.00°
Fractional positions:
Al  0.500  0.500  0.500
Al  0.500  0.500  0.128
Ni  0.000  0.000  0.593
Al  0.500  0.500  0.313
Ni  0.000  0.000  0.218
Ni  0.000  0.000  0.407
Ag  0.000  0.000  0.000
Al  0.500  0.500  0.687
Al  0.500  0.500  0.872
Ni  0.000  0.000  0.782